Compound: Zn2InCuS4
Source: the Alexandria database
Functional: PBEsol
Structure: relaxed

## Properties
Its total magnetic moment is 0.0 μB per cell. As for the space group: I-42m. Its formation energy without anion corrections is -0.65 eV/atom.

a = 5.4203 Å, b = 5.4203 Å, c = 6.6496 Å
α = 114.05°, β = 114.05°, γ = 90.00°
Last column: nearest neighbours and their distance in Å.
Element x y z (fractional)
S 0.6375 0.6375 0.7433  1 Cu 2.27, 2 Zn 2.33, 1 In 2.47
S 0.1058 0.1058 0.7433  1 Cu 2.27, 2 Zn 2.33, 1 In 2.47
S 0.8942 0.3625 0.2567  1 Cu 2.27, 2 Zn 2.33, 1 In 2.47
S 0.3625 0.8942 0.2567  1 Cu 2.27, 2 Zn 2.33, 1 In 2.47
Cu 0.0000 0.0000 0.0000  4 S 2.27
In 0.5000 0.5000 0.0000  4 S 2.47
Zn 0.7500 0.2500 0.5000  4 S 2.33
Zn 0.2500 0.7500 0.5000  4 S 2.33

Compound: InCuSb
Source: the Alexandria database
Functional: PBEsol
Structure: relaxed

## Properties
Its total magnetic moment is 0.0 μB per cell. As for the space group: F-43m. Its formation energy without anion corrections is 0.39 eV/atom.

a = 4.6536 Å, b = 4.6536 Å, c = 4.6536 Å
α = 60.00°, β = 60.00°, γ = 60.00°
Last column: nearest neighbours and their distance in Å.
Element x y z (fractional)
Cu 0.5000 0.5000 0.5000  4 In 2.85
In 0.2500 0.2500 0.2500  4 Sb 2.85, 4 Cu 2.85
Sb 0.0000 0.0000 0.0000  4 In 2.85

Compound: In2CuSb
Source: the Alexandria database
Functional: PBEsol
Structure: relaxed

## Properties
Its total magnetic moment is 0.0 μB per cell. As for the space group: R3m. Its formation energy without anion corrections is 0.11 eV/atom.

a = 3.6211 Å, b = 3.6211 Å, c = 8.2232 Å
α = 77.28°, β = 77.28°, γ = 60.00°
Last column: nearest neighbours and their distance in Å.
Element x y z (fractional)
Sb 0.5151 0.5151 0.4548  3 Cu 2.63
Cu 0.2484 0.2484 0.2547  3 Sb 2.63, 3 In 2.69
In 0.7504 0.7504 0.7487  3 In 3.13, 3 Sb 3.14
In 0.9861 0.9861 0.0417  3 Cu 2.69

Compound: Sc2InCu2
Source: the Alexandria database
Functional: PBEsol
Structure: relaxed

## Properties
Its total magnetic moment is 0.0 μB per cell. As for the space group: P4/mbm. The energy relative to the elements is -193 kJ/mol of formula units.

a = 3.3733 Å, b = 7.1832 Å, c = 7.1832 Å
α = 90.00°, β = 90.00°, γ = 90.00°
Last column: nearest neighbours and their distance in Å.
Element x y z (fractional)
Cu 0.0000 0.3767 0.8767  1 Cu 2.51, 6 Sc 2.70-2.71
Cu 0.0000 0.8767 0.6233  1 Cu 2.51, 6 Sc 2.70-2.71
Cu 0.0000 0.6233 0.1233  1 Cu 2.51, 6 Sc 2.70-2.71
Cu 0.0000 0.1233 0.3767  1 Cu 2.51, 6 Sc 2.70-2.71
Sc 0.5000 0.1676 0.6676  6 Cu 2.70-2.71
Sc 0.5000 0.8324 0.3324  6 Cu 2.70-2.71
Sc 0.5000 0.3324 0.1676  6 Cu 2.70-2.71
Sc 0.5000 0.6676 0.8324  6 Cu 2.70-2.71
In 0.0000 0.0000 0.0000  4 Cu 2.85, 8 Sc 3.16
In 0.0000 0.5000 0.5000  4 Cu 2.85, 8 Sc 3.16

Compound: ScInCu
Source: the Alexandria database
Functional: PBEsol
Structure: relaxed

## Properties
Its total magnetic moment is 0.0 μB per cell. As for the space group: P-6m2. The energy relative to the elements is -97 kJ/mol of formula units.

a = 3.2111 Å, b = 4.4600 Å, c = 4.4600 Å
α = 120.00°, β = 90.00°, γ = 90.00°
Last column: nearest neighbours and their distance in Å.
Element x y z (fractional)
In 0.0000 0.6667 0.3333  3 Cu 2.57
Sc 0.5000 0.3333 0.6667  6 Cu 3.03, 6 In 3.03, 2 Sc 3.21
Cu 0.0000 0.0000 0.0000  3 In 2.57

Compound: In3CuSe5
Source: the Alexandria database
Functional: PBEsol
Structure: relaxed

## Properties
Its total magnetic moment is 0.0 μB per cell. As for the space group: P1. Its formation energy without anion corrections is -0.45 eV/atom.

a = 5.7141 Å, b = 7.0259 Å, c = 7.0497 Å
α = 80.15°, β = 66.19°, γ = 66.25°
Last column: nearest neighbours and their distance in Å.
Element x y z (fractional)
Cu 0.9696 0.0155 0.0055  4 Se 2.38-2.46
In 0.4021 0.3800 0.8057  4 Se 2.58-2.66
In 0.8112 0.8139 0.5857  4 Se 2.58-2.68
In 0.6249 0.5940 0.2026  4 Se 2.57-2.66
Se 0.4169 0.7221 0.9061  1 Cu 2.46, 3 In 2.66-2.68
Se 0.0649 0.2641 0.1281  1 Cu 2.40, 2 In 2.57-2.58
Se 0.6173 0.9369 0.2930  1 Cu 2.38, 2 In 2.57-2.59
Se 0.8995 0.1080 0.6859  1 Cu 2.38, 2 In 2.58
Se 0.2436 0.4654 0.4874  3 In 2.63-2.65

Compound: InCu2Se
Source: the Alexandria database
Functional: PBEsol
Structure: relaxed

## Properties
Its total magnetic moment is 0.0 μB per cell. As for the space group: I4/mmm. Its formation energy without anion corrections is 0.21 eV/atom.

a = 4.1366 Å, b = 4.1366 Å, c = 4.8415 Å
α = 115.29°, β = 115.29°, γ = 90.00°
Last column: nearest neighbours and their distance in Å.
Element x y z (fractional)
In 0.5000 0.5000 0.0000  8 Cu 2.83, 4 Se 2.93
Cu 0.2500 0.7500 0.5000  4 In 2.83, 4 Se 2.83, 4 Cu 2.93
Cu 0.7500 0.2500 0.5000  4 In 2.83, 4 Se 2.83, 4 Cu 2.93
Se 0.0000 0.0000 0.0000  8 Cu 2.83, 4 In 2.93

Compound: InCu2Se
Source: the Alexandria database
Functional: PBEsol
Structure: relaxed

## Properties
Its total magnetic moment is 0.0 μB per cell. As for the space group: P4mm. Its formation energy without anion corrections is 0.08 eV/atom.

a = 3.4226 Å, b = 3.4226 Å, c = 5.9694 Å
α = 90.00°, β = 90.00°, γ = 90.00°
Last column: nearest neighbours and their distance in Å.
Element x y z (fractional)
Cu 0.5000 0.5000 0.2556  1 Se 2.34
Cu 0.0000 0.0000 0.9305  4 Se 2.45
In 0.0000 0.0000 0.4509  5 Cu 2.69-2.86
Se 0.5000 0.5000 0.8630  5 Cu 2.34-2.45

The records above give, respectively, electronic total energy values of -4.15, -3.57, -3.61, -5.37, -4.97, -4.07, -3.66, -3.80 eV/atom.